Record 1
Compound: ZnAs3Rh
Source: the Alexandria database
Functional: PBE
Structure: optimized geometry

crystal system = cubic
polymorph energy (0 for the lowest one) = 0 meV per atom
M_tot = 0.00 μB per cell
energy of formation = 516 meV per atom

Structure (CIF):
```
data_ZnAs3Rh
_chemical_formula_sum 'Zn1 As3 Rh1'
_space_group_name_H-M_alt 'P m -3 m'
_space_group_IT_number 221
_space_group_name_Hall '-P 4 2 3'
_cell_length_a 4.8423
_cell_length_b 4.8423
_cell_length_c 4.8423
_cell_angle_alpha 90.00
_cell_angle_beta 90.00
_cell_angle_gamma 90.00
loop_
_atom_site_label
_atom_site_fract_x
_atom_site_fract_y
_atom_site_fract_z
Zn1 0.0000 0.0000 0.0000
As1 0.0000 0.5000 0.5000
Rh1 0.5000 0.5000 0.5000
```

---

Record 2
Compound: Zn4AsRh
Source: the Alexandria database
Functional: PBE
Structure: optimized geometry

crystal system = cubic
M_tot = 0.00 μB per cell
energy of formation = -27 meV per atom

Structure (CIF):
```
data_Zn4AsRh
_chemical_formula_sum 'Zn16 As4 Rh4'
_space_group_name_H-M_alt 'F -4 3 m'
_space_group_IT_number 216
_space_group_name_Hall 'F -4 2 3'
_cell_length_a 7.1194
_cell_length_b 7.1194
_cell_length_c 7.1194
_cell_angle_alpha 90.00
_cell_angle_beta 90.00
_cell_angle_gamma 90.00
loop_
_atom_site_label
_atom_site_fract_x
_atom_site_fract_y
_atom_site_fract_z
Zn1 0.1242 0.1242 0.3758
As1 0.0000 0.0000 0.0000
Rh1 0.2500 0.2500 0.7500
```

---

Record 3
Compound: ZnAsRh4
Source: the Alexandria database
Functional: PBE
Structure: optimized geometry

crystal system = cubic
M_tot = 0.00 μB per cell
energy of formation = 244 meV per atom

Structure (CIF):
```
data_ZnAsRh4
_chemical_formula_sum 'Zn4 As4 Rh16'
_space_group_name_H-M_alt 'F -4 3 m'
_space_group_IT_number 216
_space_group_name_Hall 'F -4 2 3'
_cell_length_a 7.2738
_cell_length_b 7.2738
_cell_length_c 7.2738
_cell_angle_alpha 90.00
_cell_angle_beta 90.00
_cell_angle_gamma 90.00
loop_
_atom_site_label
_atom_site_fract_x
_atom_site_fract_y
_atom_site_fract_z
Zn1 0.0000 0.0000 0.0000
As1 0.2500 0.2500 0.7500
Rh1 0.1250 0.1250 0.3750
```

---

Record 4
Compound: Zn2AsRh2
Source: the Alexandria database
Functional: PBE
Structure: optimized geometry

crystal system = tetragonal
polymorph energy (0 for the lowest one) = 0 meV per atom
M_tot = 0.00 μB per cell
energy of formation = -282 meV per atom

Structure (CIF):
```
data_Zn2AsRh2
_chemical_formula_sum 'Zn4 As2 Rh4'
_space_group_name_H-M_alt 'P 4/m b m'
_space_group_IT_number 127
_space_group_name_Hall '-P 4 2ab'
_cell_length_a 6.3513
_cell_length_b 6.3513
_cell_length_c 3.8800
_cell_angle_alpha 90.00
_cell_angle_beta 90.00
_cell_angle_gamma 90.00
loop_
_atom_site_label
_atom_site_fract_x
_atom_site_fract_y
_atom_site_fract_z
Zn1 0.1447 0.3553 0.0000
As1 0.0000 0.0000 0.5000
Rh1 0.1589 0.6589 0.5000
```

---

Record 5
Compound: ZnAsRh3
Source: the Alexandria database
Functional: PBE
Structure: optimized geometry

crystal system = cubic
polymorph energy (0 for the lowest one) = 670 meV per atom
M_tot = 0.01 μB per cell
energy of formation = 995 meV per atom

Structure (CIF):
```
data_ZnAsRh3
_chemical_formula_sum 'Zn1 As1 Rh3'
_space_group_name_H-M_alt 'P m -3 m'
_space_group_IT_number 221
_space_group_name_Hall '-P 4 2 3'
_cell_length_a 4.5312
_cell_length_b 4.5312
_cell_length_c 4.5312
_cell_angle_alpha 90.00
_cell_angle_beta 90.00
_cell_angle_gamma 90.00
loop_
_atom_site_label
_atom_site_fract_x
_atom_site_fract_y
_atom_site_fract_z
Zn1 0.0000 0.0000 0.0000
As1 0.5000 0.5000 0.5000
Rh1 0.0000 0.0000 0.5000
```

---

Record 6
Compound: Zn2AsRh2
Source: the Alexandria database
Functional: PBE
Structure: optimized geometry

crystal system = tetragonal
polymorph energy (0 for the lowest one) = 202 meV per atom
M_tot = 0.00 μB per cell
energy of formation = -80 meV per atom

Structure (CIF):
```
data_Zn2AsRh2
_chemical_formula_sum 'Zn4 As2 Rh4'
_space_group_name_H-M_alt 'P 4/m b m'
_space_group_IT_number 127
_space_group_name_Hall '-P 4 2ab'
_cell_length_a 7.0842
_cell_length_b 7.0842
_cell_length_c 3.0295
_cell_angle_alpha 90.00
_cell_angle_beta 90.00
_cell_angle_gamma 90.00
loop_
_atom_site_label
_atom_site_fract_x
_atom_site_fract_y
_atom_site_fract_z
Zn1 0.1280 0.3720 0.0000
As1 0.0000 0.0000 0.0000
Rh1 0.1686 0.6686 0.5000
```

---

Record 7
Compound: ZrAsRh3
Source: the Alexandria database
Functional: PBE
Structure: optimized geometry

crystal system = cubic
polymorph energy (0 for the lowest one) = 0 meV per atom
M_tot = 0.00 μB per cell
energy of formation = 39 meV per atom

Structure (CIF):
```
data_ZrAsRh3
_chemical_formula_sum 'Zr1 As1 Rh3'
_space_group_name_H-M_alt 'P m -3 m'
_space_group_IT_number 221
_space_group_name_Hall '-P 4 2 3'
_cell_length_a 4.5326
_cell_length_b 4.5326
_cell_length_c 4.5326
_cell_angle_alpha 90.00
_cell_angle_beta 90.00
_cell_angle_gamma 90.00
loop_
_atom_site_label
_atom_site_fract_x
_atom_site_fract_y
_atom_site_fract_z
Zr1 0.0000 0.0000 0.0000
As1 0.5000 0.5000 0.5000
Rh1 0.0000 0.5000 0.5000
```

---

Record 8
Compound: Zr2AsRh
Source: the Alexandria database
Functional: PBE
Structure: optimized geometry

crystal system = orthorhombic
M_tot = 0.00 μB per cell
energy of formation = -907 meV per atom

Structure (CIF):
```
data_Zr2AsRh
_chemical_formula_sum 'Zr4 As2 Rh2'
_space_group_name_H-M_alt 'A m m 2'
_space_group_IT_number 38
_space_group_name_Hall 'A 2 -2'
_cell_length_a 4.0263
_cell_length_b 3.6335
_cell_length_c 10.3228
_cell_angle_alpha 90.00
_cell_angle_beta 90.00
_cell_angle_gamma 90.00
loop_
_atom_site_label
_atom_site_fract_x
_atom_site_fract_y
_atom_site_fract_z
Zr1 0.0000 0.0000 0.0000
Zr2 0.5000 0.0000 0.2928
As1 0.5000 0.0000 0.5628
Rh1 0.0000 0.0000 0.7282
```

---

Record 9
Compound: Zr2AsRh
Source: the Alexandria database
Functional: PBE
Structure: optimized geometry

crystal system = tetragonal
M_tot = 0.00 μB per cell
energy of formation = -681 meV per atom

Structure (CIF):
```
data_Zr2AsRh
_chemical_formula_sum 'Zr4 As2 Rh2'
_space_group_name_H-M_alt 'I 4/m m m'
_space_group_IT_number 139
_space_group_name_Hall '-I 4 2'
_cell_length_a 5.0624
_cell_length_b 5.0624
_cell_length_c 5.7163
_cell_angle_alpha 90.00
_cell_angle_beta 90.00
_cell_angle_gamma 90.00
loop_
_atom_site_label
_atom_site_fract_x
_atom_site_fract_y
_atom_site_fract_z
Zr1 0.0000 0.5000 0.2500
As1 0.0000 0.0000 0.0000
Rh1 0.0000 0.0000 0.5000
```

---

Record 10
Compound: Zr2AsRh
Source: the Alexandria database
Functional: PBE
Structure: optimized geometry

crystal system = orthorhombic
M_tot = 0.00 μB per cell
energy of formation = -750 meV per atom

Structure (CIF):
```
data_Zr2AsRh
_chemical_formula_sum 'Zr4 As2 Rh2'
_space_group_name_H-M_alt 'C m m m'
_space_group_IT_number 65
_space_group_name_Hall '-C 2 2'
_cell_length_a 5.8309
_cell_length_b 7.2705
_cell_length_c 3.4607
_cell_angle_alpha 90.00
_cell_angle_beta 90.00
_cell_angle_gamma 90.00
loop_
_atom_site_label
_atom_site_fract_x
_atom_site_fract_y
_atom_site_fract_z
Zr1 0.2500 0.2500 0.0000
As1 0.0000 0.0000 0.5000
Rh1 0.0000 0.5000 0.5000
```

---

Record 11
Compound: Zr2AsRh
Source: the Alexandria database
Functional: PBE
Structure: optimized geometry

crystal system = monoclinic
M_tot = 0.00 μB per cell
energy of formation = -727 meV per atom

Structure (CIF):
```
data_Zr2AsRh
_chemical_formula_sum 'Zr4 As2 Rh2'
_space_group_name_H-M_alt 'C 1 2/m 1'
_space_group_IT_number 12
_space_group_name_Hall '-C 2y'
_cell_length_a 6.5059
_cell_length_b 3.7474
_cell_length_c 7.0155
_cell_angle_alpha 90.00
_cell_angle_beta 107.91
_cell_angle_gamma 90.00
loop_
_atom_site_label
_atom_site_fract_x
_atom_site_fract_y
_atom_site_fract_z
Zr1 0.2482 0.0000 0.2434
As1 0.0000 0.0000 0.5000
Rh1 0.0000 0.5000 0.0000
```

---

Record 12
Compound: ZrAsRh3
Source: the Alexandria database
Functional: PBE
Structure: optimized geometry

crystal system = cubic
polymorph energy (0 for the lowest one) = 934 meV per atom
M_tot = 0.00 μB per cell
energy of formation = 973 meV per atom

Structure (CIF):
```
data_ZrAsRh3
_chemical_formula_sum 'Zr1 As1 Rh3'
_space_group_name_H-M_alt 'P m -3 m'
_space_group_IT_number 221
_space_group_name_Hall '-P 4 2 3'
_cell_length_a 4.7930
_cell_length_b 4.7930
_cell_length_c 4.7930
_cell_angle_alpha 90.00
_cell_angle_beta 90.00
_cell_angle_gamma 90.00
loop_
_atom_site_label
_atom_site_fract_x
_atom_site_fract_y
_atom_site_fract_z
Zr1 0.0000 0.0000 0.0000
As1 0.5000 0.5000 0.5000
Rh1 0.0000 0.0000 0.5000
```

---

Record 13
Compound: Zr2AsRh
Source: the Alexandria database
Functional: PBE
Structure: optimized geometry

crystal system = monoclinic
M_tot = 0.00 μB per cell
energy of formation = -726 meV per atom

Structure (CIF):
```
data_Zr2AsRh
_chemical_formula_sum 'Zr2 As1 Rh1'
_space_group_name_H-M_alt 'P 1 2/m 1'
_space_group_IT_number 10
_space_group_name_Hall '-P 2y'
_cell_length_a 3.1254
_cell_length_b 3.5191
_cell_length_c 6.9024
_cell_angle_alpha 90.00
_cell_angle_beta 98.80
_cell_angle_gamma 90.00
loop_
_atom_site_label
_atom_site_fract_x
_atom_site_fract_y
_atom_site_fract_z
Zr1 0.0536 0.0000 0.2458
As1 0.5000 0.5000 0.5000
Rh1 0.5000 0.5000 0.0000
```

---

Record 14
Compound: Zr2AsRh
Source: the Alexandria database
Functional: PBE
Structure: optimized geometry

crystal system = trigonal
M_tot = 0.00 μB per cell
energy of formation = -243 meV per atom

Structure (CIF):
```
data_Zr2AsRh
_chemical_formula_sum 'Zr6 As3 Rh3'
_space_group_name_H-M_alt 'R 3 m'
_space_group_IT_number 160
_space_group_name_Hall 'R 3 -2"'
_cell_length_a 3.2697
_cell_length_b 3.2697
_cell_length_c 25.5172
_cell_angle_alpha 90.00
_cell_angle_beta 90.00
_cell_angle_gamma 120.00
loop_
_atom_site_label
_atom_site_fract_x
_atom_site_fract_y
_atom_site_fract_z
Zr1 0.0000 0.0000 0.0000
Zr2 0.0000 0.0000 0.2363
As1 0.0000 0.0000 0.7531
Rh1 0.0000 0.0000 0.4850
```